Material: Nb2Ga2Ru3
Method: DFT, PBE-GGA
State: optimized geometry

Summary:
For the total energy, the calculation gives -8.023 eV/atom. As for the total magnetization: 0.00 μB per formula unit.

abc: 4.495 4.489 6.814
angles: 80.61 109.30 120.01
Fractional positions:
1 Ga 0.193 0.994 0.392
2 Ga 0.807 0.006 0.608
3 Ru 0.000 0.000 0.000
4 Nb 0.253 0.667 0.839
5 Ru 0.459 0.666 0.251
6 Ru 0.541 0.334 0.749
7 Nb 0.747 0.333 0.161


Material: Dy2Y4HoTm2
Method: DFT, PBE-GGA
State: optimized geometry

Summary:
For the total energy, the calculation gives -5.392 eV/atom. As for the total magnetization: 0.00 μB per formula unit.

abc: 3.577 9.464 9.482
angles: 115.33 90.00 100.89
Fractional positions:
1 Tm 0.333 0.666 0.001
2 Tm 0.667 0.334 0.999
3 Y 0.185 0.371 0.332
4 Y 0.482 0.963 0.666
5 Ho 0.000 0.000 0.000
6 Y 0.815 0.629 0.668
7 Dy 0.851 0.703 0.332
8 Dy 0.149 0.297 0.668
9 Y 0.518 0.037 0.334


Material: Be2TeP
Method: DFT, PBE-GGA
State: optimized geometry

Summary:
The excess energy over the best structure of this formula in the dataset comes out at 1110 meV per atom. As for the total magnetization: 0.00 μB per formula unit. Its formation energy (no corrections) is 0.9801 eV/atom.

abc: 4.493 4.493 4.493
angles: 60.00 60.00 60.00
Fractional positions:
1 Be 0.000 0.000 0.000
2 P 0.500 0.500 0.500
3 Be 0.750 0.750 0.750
4 Te 0.250 0.250 0.250


Material: LiTiAgPd
Method: DFT, PBE-GGA
State: optimized geometry

Summary:
For the total energy, the calculation gives -4.683 eV/atom. As for the total magnetization: 0.00 μB per formula unit.

abc: 4.458 4.458 4.458
angles: 60.00 60.00 60.00
Fractional positions:
1 Li 0.750 0.750 0.750
2 Ag 0.000 0.000 0.000
3 Pd 0.500 0.500 0.500
4 Ti 0.250 0.250 0.250


Material: Sm3Ge3Pd
Method: DFT, PBE-GGA
State: optimized geometry

Summary:
For the total energy, the calculation gives -5.647 eV/atom. As for the total magnetization: 0.00 μB per formula unit.

abc: 4.387 5.866 13.563
angles: 84.21 80.69 68.04
Fractional positions:
1 Ge 0.034 0.163 0.769
2 Ge 0.873 0.708 0.547
3 Pd 0.244 0.910 0.601
4 Ge 0.966 0.837 0.231
5 Ge 0.120 0.836 0.924
6 Sm 0.468 0.684 0.380
7 Sm 0.742 0.744 0.772
8 Pd 0.756 0.090 0.399
9 Ge 0.880 0.164 0.076
10 Sm 0.532 0.316 0.620
11 Sm 0.258 0.256 0.228
12 Sm 0.399 0.279 0.923
13 Sm 0.601 0.721 0.077
14 Ge 0.127 0.292 0.453


Material: LaCuH2
Method: DFT, PBE-GGA
State: optimized geometry

Summary:
The excess energy over the best structure of this formula in the dataset comes out at 124 meV per atom. As for the total magnetization: 0.00 μB per formula unit.

abc: 4.461 4.461 6.087
angles: 68.50 68.50 90.00
Fractional positions:
1 H 0.875 0.546 0.750
2 La 0.000 0.000 0.000
3 H 0.296 0.125 0.250
4 H 0.375 0.704 0.750
5 Cu 0.250 0.750 0.500
6 H 0.454 0.625 0.250
7 Cu 0.500 0.500 0.000
8 La 0.750 0.250 0.500